First-principles (PBE) data for crystalline AlAs4Au at its relaxed geometry, as listed in Alexandria.

a b c (Å): 5.560 5.560 5.560
angles (deg): 60.00 60.00 60.00
Element x y z (fractional)
Al: 0.000 0.000 0.000
As: 0.126 0.625 0.625
As: 0.625 0.126 0.625
As: 0.625 0.625 0.126
As: 0.625 0.625 0.625
Au: 0.250 0.250 0.250

Computed properties:
Calculated volume ... 20.3 A^3/atom
Total moment ... 0.00 μB/atom
Formation enthalpy at 0 K ... 456 meV per atom
Density of states at the Fermi level ... 3.39 states/eV/cell